## SrAlFeO4 (PBE+U)

Data for crystalline SrAlFeO4 at its relaxed geometry.

```
SrAlFeO4
1.0
5.371 0.000 0.000
0.000 5.371 0.000
-2.686 -2.686 3.818
Sr Al O Fe
1 1 4 1
Cartesian
0.000 0.000 0.000 Sr
2.686 2.686 0.000 Al
0.805 1.277 2.868 O
1.409 3.490 0.950 O
3.962 1.881 0.950 O
-0.805 -1.277 2.868 O
0.000 2.686 1.909 Fe
```

Summary:
- Space-group type: I-4 (82)
- E_tot: -47.7 eV for the cell shown